No. 1
# Pa2MnCo4As3, optimized geometry, DFT PBE
data_Pa2MnCo4As3
_cell_length_a 3.962
_cell_length_b 3.962
_cell_length_c 9.794
_cell_angle_alpha 90.00
_cell_angle_beta 90.00
_cell_angle_gamma 90.00
_space_group_name_H-M_alt 'P -4 m 2'
_space_group_IT_number 115
loop_
_space_group_symop_operation_xyz
'x,y,z'
'y,-x,-z'
'-x,-y,z'
'-y,x,-z'
'-x,y,z'
'-y,-x,-z'
'x,-y,z'
'y,x,-z'
loop_
_atom_site_label
_atom_site_type_symbol
_atom_site_fract_x
_atom_site_fract_y
_atom_site_fract_z
_atom_site_occupancy
Pa1 Pa 0.000 0.500 0.249 1
Mn1 Mn 0.500 0.500 0.000 1
Co1 Co 0.000 0.000 0.500 1
Co2 Co 0.000 0.500 0.865 1
Co3 Co 0.500 0.500 0.500 1
As1 As 0.000 0.000 0.000 1
As2 As 0.000 0.500 0.630 1
# Final energy, eV per atom: -7.67
# ΔE_f, meV/atom: -615

No. 2
# PaMnCo2As2, optimized geometry, DFT PBE
data_PaMnCo2As2
_cell_length_a 4.0464
_cell_length_b 4.0464
_cell_length_c 6.4873
_cell_angle_alpha 90.00
_cell_angle_beta 90.00
_cell_angle_gamma 120.00
_space_group_name_H-M_alt 'P -3 m 1'
_space_group_IT_number 164
_space_group_name_Hall '-P 3 2"'
loop_
_atom_site_label
_atom_site_type_symbol
_atom_site_fract_x
_atom_site_fract_y
_atom_site_fract_z
_atom_site_occupancy
Pa1 Pa 0.0000 0.0000 0.0000 1
Mn1 Mn 0.0000 0.0000 0.5000 1
Co1 Co 0.3333 0.6667 0.6694 1
As1 As 0.3333 0.6667 0.2765 1
# Final energy, eV per atom: -7.56
# ΔE_f, meV/atom: -531

No. 3
# RbMnCo2As, optimized geometry, DFT PBE
data_RbMnCo2As
_cell_length_a 4.558
_cell_length_b 4.558
_cell_length_c 6.117
_cell_angle_alpha 90.00
_cell_angle_beta 90.00
_cell_angle_gamma 90.00
_space_group_name_H-M_alt 'P 4/m m m'
_space_group_IT_number 123
_space_group_name_Hall '-P 4 2'
loop_
_atom_site_label
_atom_site_type_symbol
_atom_site_fract_x
_atom_site_fract_y
_atom_site_fract_z
_atom_site_occupancy
Rb1 Rb 0.000 0.000 0.000 1
Mn1 Mn 0.500 0.500 0.000 1
Co1 Co 0.000 0.500 0.500 1
As1 As 0.000 0.000 0.500 1
# Final energy, eV per atom: -4.69
# ΔE_f, meV/atom: 1106